No. 1
# YAgSnPd | Alexandria | PBE | optimized geometry
# - ΔH_f (0 K) (eV per atom) = -0.6268
# - total magnetic moment (μB/f.u.) = 0.0
# - crystal system = cubic
# - calculated density (kg/m³) = 8519
data_YAgSnPd
_chemical_formula_sum 'Y4 Ag4 Sn4 Pd4'
_symmetry_space_group_name_H-M 'F -4 3 m'
_symmetry_Int_Tables_number 216
_symmetry_space_group_name_Hall 'F -4 2 3'
_cell_length_a 6.9030
_cell_length_b 6.9030
_cell_length_c 6.9030
_cell_angle_alpha 90.00
_cell_angle_beta 90.00
_cell_angle_gamma 90.00
loop_
_atom_site_label
_atom_site_fract_x
_atom_site_fract_y
_atom_site_fract_z
Y1 0.0000 0.0000 0.0000
Ag1 0.2500 0.2500 0.2500
Sn1 0.0000 0.0000 0.5000
Pd1 0.2500 0.2500 0.7500



No. 2
# ZnAgSnPd | Alexandria | PBE | optimized geometry
# - ΔH_f (0 K) (eV per atom) = -0.1792
# - total magnetic moment (μB/f.u.) = 0.0
# - crystal system = cubic
# - calculated density (kg/m³) = 9388
data_ZnAgSnPd
_chemical_formula_sum 'Zn4 Ag4 Sn4 Pd4'
_symmetry_space_group_name_H-M 'F -4 3 m'
_symmetry_Int_Tables_number 216
_symmetry_space_group_name_Hall 'F -4 2 3'
_cell_length_a 6.5567
_cell_length_b 6.5567
_cell_length_c 6.5567
_cell_angle_alpha 90.00
_cell_angle_beta 90.00
_cell_angle_gamma 90.00
loop_
_atom_site_label
_atom_site_fract_x
_atom_site_fract_y
_atom_site_fract_z
Zn1 0.0000 0.0000 0.0000
Ag1 0.2500 0.2500 0.7500
Sn1 0.0000 0.0000 0.5000
Pd1 0.2500 0.2500 0.2500



No. 3
# ZrAgSn2Pd | Alexandria | PBE | optimized geometry
# - ΔH_f (0 K) (eV per atom) = 0.9204
# - total magnetic moment (μB/f.u.) = 0.0
# - crystal system = tetragonal
# - calculated density (kg/m³) = 5765
data_ZrAgSn2Pd
_chemical_formula_sum 'Zr1 Ag1 Sn2 Pd1'
_symmetry_space_group_name_H-M 'P 4/m m m'
_symmetry_Int_Tables_number 123
_symmetry_space_group_name_Hall '-P 4 2'
_cell_length_a 5.4708
_cell_length_b 5.4708
_cell_length_c 5.2249
_cell_angle_alpha 90.00
_cell_angle_beta 90.00
_cell_angle_gamma 90.00
loop_
_atom_site_label
_atom_site_fract_x
_atom_site_fract_y
_atom_site_fract_z
Zr1 0.0000 0.0000 0.0000
Ag1 0.0000 0.0000 0.5000
Sn1 0.0000 0.5000 0.0000
Pd1 0.5000 0.5000 0.5000



No. 4
# ZrAgSnPd | Alexandria | PBE | optimized geometry
# - ΔH_f (0 K) (eV per atom) = -0.3944
# - total magnetic moment (μB/f.u.) = 0.0
# - crystal system = cubic
# - calculated density (kg/m³) = 9226
data_ZrAgSnPd
_chemical_formula_sum 'Zr4 Ag4 Sn4 Pd4'
_symmetry_space_group_name_H-M 'F -4 3 m'
_symmetry_Int_Tables_number 216
_symmetry_space_group_name_Hall 'F -4 2 3'
_cell_length_a 6.7344
_cell_length_b 6.7344
_cell_length_c 6.7344
_cell_angle_alpha 90.00
_cell_angle_beta 90.00
_cell_angle_gamma 90.00
loop_
_atom_site_label
_atom_site_fract_x
_atom_site_fract_y
_atom_site_fract_z
Zr1 0.0000 0.0000 0.0000
Ag1 0.2500 0.2500 0.7500
Sn1 0.0000 0.0000 0.5000
Pd1 0.2500 0.2500 0.2500



No. 5
# Sr2Ag3Pd2 | Alexandria | PBE | optimized geometry
# - ΔH_f (0 K) (eV per atom) = -0.3568
# - total magnetic moment (μB/f.u.) = 0.0
# - crystal system = monoclinic
# - calculated density (kg/m³) = 7190
data_Sr2Ag3Pd2
_chemical_formula_sum 'Sr4 Ag6 Pd4'
_symmetry_space_group_name_H-M 'C 1 2/m 1'
_symmetry_Int_Tables_number 12
_cell_length_a 10.5403
_cell_length_b 4.5952
_cell_length_c 7.0084
_cell_angle_alpha 90.00
_cell_angle_beta 104.44
_cell_angle_gamma 90.00
loop_
_symmetry_equiv_pos_as_xyz
'x,y,z'
'-x,-y,-z'
'-x,y,-z'
'x,-y,z'
'x+1/2,y+1/2,z'
'-x+1/2,-y+1/2,-z'
'-x+1/2,y+1/2,-z'
'x+1/2,-y+1/2,z'
loop_
_atom_site_label
_atom_site_fract_x
_atom_site_fract_y
_atom_site_fract_z
Sr1 0.1160 0.0000 0.3336
Ag1 0.0000 0.5000 0.0000
Ag2 0.2083 0.0000 0.8886
Pd1 0.0953 0.5000 0.6707



No. 6
# Sr8AgPd2 | Alexandria | PBE | optimized geometry
# - ΔH_f (0 K) (eV per atom) = -0.1334
# - total magnetic moment (μB/f.u.) = 0.0
# - crystal system = trigonal
# - calculated density (kg/m³) = 3248
data_Sr8AgPd2
_chemical_formula_sum 'Sr8 Ag1 Pd2'
_symmetry_space_group_name_H-M 'P -3'
_symmetry_Int_Tables_number 147
_cell_length_a 9.6432
_cell_length_b 9.6432
_cell_length_c 6.4846
_cell_angle_alpha 90.00
_cell_angle_beta 90.00
_cell_angle_gamma 120.00
loop_
_symmetry_equiv_pos_as_xyz
'x,y,z'
'-x,-y,-z'
'-y,x-y,z'
'y,-x+y,-z'
'-x+y,-x,z'
'x-y,x,-z'
loop_
_atom_site_label
_atom_site_fract_x
_atom_site_fract_y
_atom_site_fract_z
Sr1 0.1600 0.3218 0.2473
Sr2 0.3333 0.6667 0.7489
Ag1 0.0000 0.0000 0.5000
Pd1 0.3333 0.6667 0.2496



No. 7
# SrAg12Pd7 | Alexandria | PBE | optimized geometry
# - ΔH_f (0 K) (eV per atom) = 0.2798
# - total magnetic moment (μB/f.u.) = 0.0
# - crystal system = cubic
# - calculated density (kg/m³) = 7661
data_SrAg12Pd7
_chemical_formula_sum 'Sr2 Ag24 Pd14'
_symmetry_space_group_name_H-M 'I m -3'
_symmetry_Int_Tables_number 204
_symmetry_space_group_name_Hall '-I 2 2 3'
_cell_length_a 9.7332
_cell_length_b 9.7332
_cell_length_c 9.7332
_cell_angle_alpha 90.00
_cell_angle_beta 90.00
_cell_angle_gamma 90.00
loop_
_atom_site_label
_atom_site_fract_x
_atom_site_fract_y
_atom_site_fract_z
Sr1 0.0000 0.0000 0.0000
Ag1 0.0000 0.3569 0.2487
Pd1 0.0000 0.0000 0.5000
Pd2 0.2500 0.2500 0.2500



No. 8
# Sr3AgPd2 | Alexandria | PBE | optimized geometry
# - ΔH_f (0 K) (eV per atom) = -0.4718
# - total magnetic moment (μB/f.u.) = 0.0
# - crystal system = orthorhombic
# - calculated density (kg/m³) = 5472
data_Sr3AgPd2
_chemical_formula_sum 'Sr12 Ag4 Pd8'
_symmetry_space_group_name_H-M 'P n m a'
_symmetry_Int_Tables_number 62
_cell_length_a 12.5189
_cell_length_b 4.6000
_cell_length_c 12.3015
_cell_angle_alpha 90.00
_cell_angle_beta 90.00
_cell_angle_gamma 90.00
loop_
_symmetry_equiv_pos_as_xyz
'x,y,z'
'-x,-y,-z'
'-x+1/2,-y,z+1/2'
'x+1/2,y,-z+1/2'
'x+1/2,-y+1/2,-z+1/2'
'-x+1/2,y+1/2,z+1/2'
'-x,y+1/2,-z'
'x,-y+1/2,z'
loop_
_atom_site_label
_atom_site_fract_x
_atom_site_fract_y
_atom_site_fract_z
Sr1 0.0523 0.2500 0.1234
Sr2 0.1206 0.7500 0.5613
Sr3 0.2066 0.2500 0.8083
Ag1 0.1276 0.2500 0.3740
Pd1 0.0182 0.7500 0.3112
Pd2 0.1872 0.7500 0.9992



- Look up the ΔH_f (0 K) of the eighth one.
  -0.4718 eV per atom